Here is an optimized crystal structure of TlCuSe2Br from the Alexandria database. Energies are from PBE-GGA.

The value obtained for the density of states at the Fermi level is 5.5 states/eV/cell. As for the energy: -3.03 eV per atom. The uncorrected formation energy comes out at -0.005 eV/atom. The calculation puts the excess energy over the best structure of this formula in the dataset at 0 kJ/mol of formula units.

a b c (Å): 4.7647 5.8976 4.7647
angles (deg): 90.00 90.00 90.00
Last column: magnetic moment on the atom in μB.
Fractional coordinates of all 5 atoms:
Se 0.0000 0.0000 0.5000  0.09
Se 0.5000 0.0000 0.0000  0.17
Cu 0.0000 0.0000 0.0000  0.03
Br 0.0000 0.5000 0.0000  0.05
Tl 0.5000 0.5000 0.5000  0.00